Below is a relaxed Cr2OsRh5 crystal, with properties calculated at the GGA-PBE level.

Geometry as POSCAR:
```
Cr2OsRh5
1.0
3.804 0.000 0.000
0.000 5.368 0.000
0.000 0.000 10.746
Cr Os Rh
4 2 10
Direct
0.500 0.758 0.123
0.500 0.242 0.877
0.500 0.742 0.623
0.500 0.258 0.377
0.000 0.500 0.500
0.000 0.000 0.000
0.000 0.000 0.500
0.000 0.500 0.000
0.000 0.999 0.248
0.000 0.001 0.752
0.000 0.501 0.748
0.000 0.499 0.252
0.500 0.748 0.376
0.500 0.252 0.624
0.500 0.752 0.876
0.500 0.248 0.124
```

Values from the calculation:
V, A^3/atom: 13.71
Space group: Pbam (55)
Formation enthalpy at 0 K, eV/atom: -0.09
Calculated density, g/cm3: 12.2


Below is a relaxed K2SiRu crystal, with properties calculated at the GGA-PBE level.

Geometry as POSCAR:
```
K2SiRu
1.0
4.991 0.003 0.000
-0.007 4.991 0.000
-2.492 -2.497 3.531
K Ru Si
2 1 1
Direct
0.000 0.000 0.000
0.250 0.750 0.500
0.500 0.500 0.000
0.750 0.250 0.500
```

Values from the calculation:
V, A^3/atom: 21.99
Space group: F-43m (216)
Calculated density, g/cm3: 3.9
Raw formation energy, meV per atom: 934


Below is a relaxed Nd3Ho5Bi8 crystal, with properties calculated at the GGA-PBE level.

Geometry as POSCAR:
```
Nd3Ho5Bi8
1.0
4.161 5.178 6.131
4.619 -3.827 6.762
9.022 0.469 0.145
Nd Ho Bi
3 5 8
Direct
0.500 0.000 0.500
0.000 0.000 0.500
0.000 0.500 0.500
0.500 0.000 0.000
0.500 0.500 0.000
0.000 0.000 0.000
0.000 0.500 0.000
0.500 0.500 0.500
0.250 0.250 0.757
0.250 0.743 0.757
0.743 0.250 0.757
0.747 0.747 0.760
0.750 0.750 0.243
0.750 0.257 0.243
0.257 0.750 0.243
0.253 0.253 0.240
```

Values from the calculation:
V, A^3/atom: 32.62
Space group: R-3m (166)
Formation enthalpy at 0 K, eV/atom: -0.87
Calculated density, g/cm3: 9.3


Below is a relaxed RbCdAsS4 crystal, with properties calculated at the GGA-PBE level.

Geometry as POSCAR:
```
RbCdAsS4
1.0
-3.925 -3.429 3.629
5.296 -4.406 1.565
3.661 6.378 5.565
Rb Cd As S
2 2 2 8
Direct
0.751 0.750 0.936
0.249 0.250 0.064
0.816 0.750 0.482
0.184 0.250 0.518
0.207 0.750 0.312
0.793 0.250 0.688
0.028 0.488 0.700
0.972 0.988 0.300
0.972 0.512 0.300
0.028 0.012 0.700
0.332 0.750 0.119
0.668 0.250 0.881
0.445 0.750 0.535
0.555 0.250 0.465
```

Values from the calculation:
V, A^3/atom: 28.43
Space group: P2_1/m (11)
Calculated density, g/cm3: 3.3
Raw formation energy, meV per atom: -483


Number 1: spin magnetization 0.269 μB/atom. Number 2: spin magnetization 0.000 μB/atom. Number 3: spin magnetization 0.000 μB/atom. Number 4: spin magnetization 0.000 μB/atom.